A plane-wave DFT calculation with GGA-PBE was carried out for a relaxed structure of DyNiRh.

Unit cell a=4.124 b=4.124 c=7.505 alpha=90.00 beta=90.00 gamma=120.00
Fractional coordinates of all 6 atoms:
Dy 0.000 0.000 0.000
Dy 0.000 0.000 0.500
Ni 0.333 0.667 0.250
Ni 0.667 0.333 0.750
Rh 0.333 0.667 0.750
Rh 0.667 0.333 0.250

Output
Energy of formation from the pure elements in meV/atom: -549
DOS at the Fermi energy in states/eV/atom: 0.75
Space-group type: P6_3/mmc, No. 194
E_tot in eV/atom: -6.460
Crystal system: hexagonal

A plane-wave DFT calculation with GGA-PBE was carried out for a relaxed structure of IrRu2Pb.

Unit cell a=2.926 b=2.926 c=7.754 alpha=90.00 beta=90.00 gamma=90.00
Fractional coordinates of all 4 atoms:
Ir 0.000 0.000 0.000
Ru 0.000 0.000 0.556
Ru 0.500 0.500 0.768
Pb 0.500 0.500 0.278

Output
Energy of formation from the pure elements in meV/atom: 477
DOS at the Fermi energy in states/eV/atom: 1.19
Space-group type: P4mm, No. 99
E_tot in eV/atom: -7.304
Crystal system: tetragonal

A plane-wave DFT calculation with GGA-PBE was carried out for a relaxed structure of TlCoP4.

Unit cell a=5.611 b=5.611 c=5.611 alpha=60.00 beta=60.00 gamma=60.00
Fractional coordinates of all 6 atoms:
Tl 0.000 0.000 0.000
Co 0.750 0.750 0.750
P 0.400 0.400 0.400
P 0.400 0.400 0.801
P 0.400 0.801 0.400
P 0.801 0.400 0.400

Output
Energy of formation from the pure elements in meV/atom: 769
DOS at the Fermi energy in states/eV/atom: 1.33
Space-group type: F-43m, No. 216
E_tot in eV/atom: -4.416
Crystal system: cubic

A plane-wave DFT calculation with GGA-PBE was carried out for a relaxed structure of SrPaInO6.

Unit cell a=5.840 b=5.840 c=4.824 alpha=90.00 beta=90.00 gamma=120.00
Fractional coordinates of all 9 atoms:
Sr 0.000 0.000 0.000
Pa 0.667 0.333 0.500
In 0.333 0.667 0.000
O 0.380 0.005 0.247
O 0.380 0.375 0.753
O 0.625 0.005 0.753
O 0.625 0.620 0.247
O 0.995 0.375 0.247
O 0.995 0.620 0.753

Output
DOS at the Fermi energy in states/eV/atom: 0.62
Formation energy from raw total energies in eV/atom: -2.212
Space-group type: P312, No. 149
E_tot in eV/atom: -7.063
Crystal system: trigonal

A plane-wave DFT calculation with GGA-PBE was carried out for a relaxed structure of AcDy5Ag6.

Unit cell a=9.080 b=9.080 c=9.080 alpha=146.45 beta=132.55 gamma=59.37
Fractional coordinates of all 12 atoms:
Ac 0.000 0.000 0.000
Dy 0.166 0.666 0.500
Dy 0.331 0.331 0.000
Dy 0.500 0.000 0.500
Dy 0.669 0.669 0.000
Dy 0.834 0.334 0.500
Ag 0.089 0.827 0.263
Ag 0.277 0.500 0.777
Ag 0.436 0.173 0.263
Ag 0.564 0.827 0.737
Ag 0.723 0.500 0.223
Ag 0.911 0.173 0.737

Output
Energy of formation from the pure elements in meV/atom: -292
DOS at the Fermi energy in states/eV/atom: 0.52
Space-group type: Immm, No. 71
E_tot in eV/atom: -3.977
Crystal system: orthorhombic

A plane-wave DFT calculation with GGA-PBE was carried out for a relaxed structure of Sr2NiSb4Pt3.

Unit cell a=4.679 b=4.679 c=10.707 alpha=90.00 beta=90.00 gamma=90.00
Fractional coordinates of all 10 atoms:
Sr 0.000 0.500 0.238
Sr 0.500 0.000 0.762
Ni 0.500 0.500 0.000
Sb 0.000 0.000 0.500
Sb 0.000 0.500 0.878
Sb 0.500 0.000 0.122
Sb 0.500 0.500 0.500
Pt 0.000 0.000 0.000
Pt 0.000 0.500 0.630
Pt 0.500 0.000 0.370

Output
DOS at the Fermi energy in states/eV/atom: 0.57
Formation energy from raw total energies in eV/atom: -0.716
Space-group type: P-4m2, No. 115
E_tot in eV/atom: -5.092
Crystal system: tetragonal

A plane-wave DFT calculation with GGA-PBE was carried out for a relaxed structure of Ba2TbAgSe4.

Unit cell a=7.603 b=4.415 c=7.767 alpha=90.00 beta=110.58 gamma=90.00
Fractional coordinates of all 8 atoms:
Ba 0.000 0.000 0.000
Ba 0.000 0.500 0.500
Tb 0.500 0.000 0.500
Ag 0.500 0.500 0.000
Se 0.280 0.500 0.274
Se 0.291 0.000 0.755
Se 0.709 0.000 0.245
Se 0.720 0.500 0.726

Output
Formation energy from raw total energies in eV/atom: -1.534
Space-group type: P2/m, No. 10
E_tot in eV/atom: -4.692
Crystal system: monoclinic

A plane-wave DFT calculation with GGA-PBE was carried out for a relaxed structure of LiTi2Pd.

Unit cell a=5.689 b=5.689 c=5.689 alpha=101.71 beta=101.71 gamma=126.46
Fractional coordinates of all 8 atoms:
Li 0.000 0.000 0.000
Li 0.750 0.250 0.500
Ti 0.141 0.625 0.016
Ti 0.375 0.391 0.516
Ti 0.609 0.125 0.984
Ti 0.875 0.859 0.484
Pd 0.250 0.750 0.500
Pd 0.500 0.500 0.000

Output
Energy of formation from the pure elements in meV/atom: 136
DOS at the Fermi energy in states/eV/atom: 1.21
Space-group type: I-42d, No. 122
E_tot in eV/atom: -5.588
Energy above the most stable polymorph in this dataset in meV/atom: 222
Crystal system: tetragonal

A plane-wave DFT calculation with GGA-PBE was carried out for a relaxed structure of BaUTlI6.

Unit cell a=8.531 b=8.531 c=14.901 alpha=90.00 beta=90.00 gamma=120.00
Fractional coordinates of all 18 atoms:
Ba 0.333 0.667 0.250
Ba 0.667 0.333 0.750
U 0.333 0.667 0.750
U 0.667 0.333 0.250
Tl 0.000 0.000 0.000
Tl 0.000 0.000 0.500
I 0.030 0.370 0.628
I 0.030 0.660 0.872
I 0.340 0.370 0.872
I 0.340 0.970 0.628
I 0.370 0.030 0.128
I 0.370 0.340 0.372
I 0.630 0.660 0.628
I 0.630 0.970 0.872
I 0.660 0.030 0.372
I 0.660 0.630 0.128
I 0.970 0.340 0.128
I 0.970 0.630 0.372

Output
DOS at the Fermi energy in states/eV/atom: 0.01
Formation energy from raw total energies in eV/atom: -1.088
Space-group type: P-31c, No. 163
E_tot in eV/atom: -3.852
Crystal system: trigonal

A plane-wave DFT calculation with GGA-PBE was carried out for a relaxed structure of Ac3Sm.

Unit cell a=3.784 b=3.800 c=12.167 alpha=90.00 beta=90.00 gamma=90.00
Fractional coordinates of all 4 atoms:
Ac 0.000 0.000 0.000
Ac 0.000 0.500 0.478
Ac 0.500 0.500 0.760
Sm 0.500 0.000 0.260

Output
Energy of formation from the pure elements in meV/atom: 219
DOS at the Fermi energy in states/eV/atom: 2.02
Space-group type: Pmm2, No. 25
E_tot in eV/atom: -4.043
Energy above the most stable polymorph in this dataset in meV/atom: 192
Crystal system: orthorhombic

A plane-wave DFT calculation with GGA-PBE was carried out for a relaxed structure of CuReTe.

Unit cell a=4.472 b=4.472 c=3.058 alpha=90.00 beta=90.00 gamma=120.00
Fractional coordinates of all 3 atoms:
Cu 0.000 0.000 0.000
Re 0.667 0.333 0.500
Te 0.333 0.667 0.500

Output
DOS at the Fermi energy in states/eV/atom: 0.44
Formation energy from raw total energies in eV/atom: 0.849
Space-group type: P-6m2, No. 187
E_tot in eV/atom: -5.713
Energy above the most stable polymorph in this dataset in meV/atom: 680
Crystal system: hexagonal

A plane-wave DFT calculation with GGA-PBE was carried out for a relaxed structure of Cs2Hg2Cl7.

Unit cell a=6.763 b=6.763 c=8.006 alpha=90.00 beta=90.00 gamma=99.66
Fractional coordinates of all 11 atoms:
Cs 0.224 0.224 0.000
Cs 0.776 0.776 0.000
Hg 0.268 0.732 0.500
Hg 0.732 0.268 0.500
Cl 0.000 0.000 0.500
Cl 0.000 0.500 0.285
Cl 0.000 0.500 0.715
Cl 0.500 0.000 0.285
Cl 0.500 0.000 0.715
Cl 0.500 0.500 0.294
Cl 0.500 0.500 0.706

Output
DOS at the Fermi energy in states/eV/atom: 1.04
Formation energy from raw total energies in eV/atom: -0.867
Space-group type: Cmmm, No. 65
E_tot in eV/atom: -2.253
Energy above the most stable polymorph in this dataset in meV/atom: 157
Crystal system: orthorhombic

A plane-wave DFT calculation with GGA-PBE was carried out for a relaxed structure of ZnTcNi2.

Unit cell a=4.506 b=4.506 c=4.561 alpha=99.56 beta=99.56 gamma=33.26
Fractional coordinates of all 4 atoms:
Zn 0.000 0.000 0.000
Tc 0.240 0.240 0.688
Ni 0.492 0.492 0.487
Ni 0.750 0.750 0.203

Output
Energy of formation from the pure elements in meV/atom: -16
DOS at the Fermi energy in states/eV/atom: 0.98
Space-group type: Cm, No. 8
E_tot in eV/atom: -5.817
Crystal system: monoclinic

A plane-wave DFT calculation with GGA-PBE was carried out for a relaxed structure of CaLa5Sm8.

Unit cell a=8.704 b=8.704 c=8.704 alpha=110.89 beta=110.89 gamma=106.67
Fractional coordinates of all 14 atoms:
Ca 0.000 0.000 0.000
La 0.040 0.433 0.822
La 0.250 0.750 0.500
La 0.567 0.389 0.607
La 0.611 0.218 0.178
La 0.782 0.960 0.393
Sm 0.090 0.333 0.411
Sm 0.279 0.179 0.753
Sm 0.321 0.910 0.243
Sm 0.426 0.526 0.247
Sm 0.474 0.721 0.899
Sm 0.667 0.078 0.757
Sm 0.821 0.574 0.101
Sm 0.922 0.679 0.589

Output
Energy of formation from the pure elements in meV/atom: 211
DOS at the Fermi energy in states/eV/atom: 1.41
Space-group type: I-4, No. 82
E_tot in eV/atom: -4.388
Crystal system: tetragonal

A plane-wave DFT calculation with GGA-PBE was carried out for a relaxed structure of Sm3Co2Ge4.

Unit cell a=5.862 b=5.862 c=8.152 alpha=106.58 beta=106.58 gamma=41.90
Fractional coordinates of all 9 atoms:
Sm 0.000 0.000 0.000
Sm 0.381 0.381 0.308
Sm 0.619 0.619 0.692
Co 0.305 0.305 0.628
Co 0.695 0.695 0.372
Ge 0.105 0.105 0.398
Ge 0.289 0.289 0.918
Ge 0.711 0.711 0.082
Ge 0.895 0.895 0.602

Output
Energy of formation from the pure elements in meV/atom: -702
DOS at the Fermi energy in states/eV/atom: 0.68
Space-group type: C2/m, No. 12
E_tot in eV/atom: -5.906
Energy above the most stable polymorph in this dataset in meV/atom: 0
Crystal system: monoclinic

A plane-wave DFT calculation with GGA-PBE was carried out for a relaxed structure of TaAl2Tc.

Unit cell a=2.840 b=4.043 c=5.454 alpha=90.00 beta=90.00 gamma=90.00
Fractional coordinates of all 4 atoms:
Ta 0.000 0.000 0.000
Al 0.500 0.500 0.261
Al 0.500 0.500 0.739
Tc 0.000 0.000 0.500

Output
Energy of formation from the pure elements in meV/atom: -173
DOS at the Fermi energy in states/eV/atom: 0.86
Space-group type: Pmmm, No. 47
E_tot in eV/atom: -7.599
Energy above the most stable polymorph in this dataset in meV/atom: 208
Crystal system: orthorhombic

A plane-wave DFT calculation with GGA-PBE was carried out for a relaxed structure of Ba2NpPaO6.

Unit cell a=4.471 b=4.471 c=8.971 alpha=90.00 beta=90.00 gamma=90.00
Fractional coordinates of all 10 atoms:
Ba 0.000 0.000 0.237
Ba 0.000 0.000 0.763
Np 0.500 0.500 0.000
Pa 0.500 0.500 0.500
O 0.000 0.500 0.000
O 0.000 0.500 0.500
O 0.500 0.000 0.000
O 0.500 0.000 0.500
O 0.500 0.500 0.256
O 0.500 0.500 0.744

Output
DOS at the Fermi energy in states/eV/atom: 1.18
Formation energy from raw total energies in eV/atom: -3.070
Space-group type: P4/mmm, No. 123
E_tot in eV/atom: -8.673
Crystal system: tetragonal

A plane-wave DFT calculation with GGA-PBE was carried out for a relaxed structure of Ta2BeTl.

Unit cell a=2.962 b=4.015 c=5.854 alpha=90.00 beta=95.89 gamma=90.00
Fractional coordinates of all 4 atoms:
Ta 0.059 0.000 0.280
Ta 0.941 0.000 0.720
Be 0.500 0.500 0.500
Tl 0.500 0.500 0.000

Output
Energy of formation from the pure elements in meV/atom: 441
DOS at the Fermi energy in states/eV/atom: 0.56
Space-group type: P2/m, No. 10
E_tot in eV/atom: -7.008
Energy above the most stable polymorph in this dataset in meV/atom: 138
Crystal system: monoclinic

A plane-wave DFT calculation with GGA-PBE was carried out for a relaxed structure of Sr2LiCuF.

Unit cell a=5.400 b=5.400 c=4.025 alpha=90.00 beta=90.00 gamma=90.00
Fractional coordinates of all 5 atoms:
Sr 0.000 0.500 0.000
Sr 0.500 0.000 0.000
Li 0.000 0.000 0.500
Cu 0.500 0.500 0.500
F 0.000 0.000 0.000

Output
DOS at the Fermi energy in states/eV/atom: 0.86
Formation energy from raw total energies in eV/atom: -1.037
Space-group type: P4/mmm, No. 123
E_tot in eV/atom: -3.286
Crystal system: tetragonal

A plane-wave DFT calculation with GGA-PBE was carried out for a relaxed structure of Dy3HoHg5.

Unit cell a=9.092 b=9.092 c=6.486 alpha=90.00 beta=90.00 gamma=120.00
Fractional coordinates of all 18 atoms:
Dy 0.000 0.370 0.250
Dy 0.000 0.630 0.750
Dy 0.370 0.000 0.250
Dy 0.370 0.370 0.750
Dy 0.630 0.000 0.750
Dy 0.630 0.630 0.250
Ho 0.000 0.000 0.000
Ho 0.000 0.000 0.500
Hg 0.000 0.297 0.750
Hg 0.000 0.703 0.250
Hg 0.297 0.000 0.750
Hg 0.297 0.297 0.250
Hg 0.333 0.667 0.000
Hg 0.333 0.667 0.500
Hg 0.667 0.333 0.000
Hg 0.667 0.333 0.500
Hg 0.703 0.000 0.250
Hg 0.703 0.703 0.750

Output
Energy of formation from the pure elements in meV/atom: -406
DOS at the Fermi energy in states/eV/atom: 0.84
Space-group type: P6_3/mcm, No. 193
E_tot in eV/atom: -2.617
Crystal system: hexagonal

A plane-wave DFT calculation with GGA-PBE was carried out for a relaxed structure of SrLi2Au.

Unit cell a=6.318 b=6.318 c=4.335 alpha=109.63 beta=109.63 gamma=122.05
Fractional coordinates of all 4 atoms:
Sr 0.000 0.000 0.000
Li 0.000 0.500 0.500
Li 0.500 0.000 0.500
Au 0.500 0.500 0.000

Output
Energy of formation from the pure elements in meV/atom: -201
DOS at the Fermi energy in states/eV/atom: 0.35
Space-group type: C2/m, No. 12
E_tot in eV/atom: -2.398
Energy above the most stable polymorph in this dataset in meV/atom: 226
Crystal system: monoclinic

A plane-wave DFT calculation with GGA-PBE was carried out for a relaxed structure of ThAgPtPb.

Unit cell a=5.076 b=5.076 c=5.076 alpha=60.00 beta=60.00 gamma=60.00
Fractional coordinates of all 4 atoms:
Th 0.000 0.000 0.000
Ag 0.250 0.250 0.250
Pt 0.750 0.750 0.750
Pb 0.500 0.500 0.500

Output
Energy of formation from the pure elements in meV/atom: -478
DOS at the Fermi energy in states/eV/atom: 0.54
Space-group type: F-43m, No. 216
E_tot in eV/atom: -5.484
Crystal system: cubic

A plane-wave DFT calculation with GGA-PBE was carried out for a relaxed structure of AgGeBrF6.

Unit cell a=5.175 b=6.029 c=6.099 alpha=113.50 beta=102.23 gamma=104.75
Fractional coordinates of all 9 atoms:
Ag 0.000 0.000 0.000
Ge 0.233 0.433 0.640
Br 0.721 0.776 0.273
F 0.056 0.581 0.843
F 0.392 0.230 0.464
F 0.474 0.438 0.943
F 0.485 0.738 0.712
F 0.971 0.096 0.614
F 0.980 0.374 0.354

Output
Formation energy from raw total energies in eV/atom: -1.661
Space-group type: P1, No. 1
E_tot in eV/atom: -3.924
Crystal system: triclinic

A plane-wave DFT calculation with GGA-PBE was carried out for a relaxed structure of Te2PdI.

Unit cell a=8.833 b=4.447 c=15.642 alpha=90.00 beta=123.77 gamma=90.00
Fractional coordinates of all 16 atoms:
Te 0.048 0.129 0.366
Te 0.048 0.371 0.866
Te 0.368 0.688 0.910
Te 0.368 0.812 0.410
Te 0.632 0.188 0.590
Te 0.632 0.312 0.090
Te 0.952 0.629 0.134
Te 0.952 0.871 0.634
Pd 0.182 0.206 0.254
Pd 0.182 0.294 0.754
Pd 0.818 0.706 0.246
Pd 0.818 0.794 0.746
I 0.295 0.090 0.129
I 0.295 0.410 0.629
I 0.705 0.590 0.371
I 0.705 0.910 0.871

Output
DOS at the Fermi energy in states/eV/atom: 0.01
Formation energy from raw total energies in eV/atom: -0.153
Space-group type: P2_1/c, No. 14
E_tot in eV/atom: -3.410
Crystal system: monoclinic